Na3ZrSn2Te6 | PBE | relaxed

abc: 7.6509 7.6509 7.8810
angles: 99.37 99.37 120.05
Last column: nearest neighbours and their distance in Å.
Sites, in units of the cell vectors:
Na 0.0000 0.0000 0.0000  6 Te 3.22-3.38
Na 0.3247 0.6753 0.0000  6 Te 3.23-3.30
Na 0.6753 0.3247 0.0000  6 Te 3.23-3.30
Zr 0.5000 0.5000 0.5000  6 Te 2.94
Sn 0.1650 0.8350 0.5000  6 Te 3.10-3.12
Sn 0.8350 0.1650 0.5000  6 Te 3.10-3.12
Te 0.1092 0.4253 0.2752  1 Zr 2.94, 2 Sn 3.11-3.12, 2 Na 3.22-3.23
Te 0.2612 0.2612 0.7267  1 Zr 2.94, 2 Sn 3.10, 2 Na 3.29
Te 0.4253 0.1092 0.2752  1 Zr 2.94, 2 Sn 3.11-3.12, 2 Na 3.22-3.23
Te 0.5747 0.8908 0.7248  1 Zr 2.94, 2 Sn 3.11-3.12, 2 Na 3.22-3.23
Te 0.7388 0.7388 0.2733  1 Zr 2.94, 2 Sn 3.10, 2 Na 3.29
Te 0.8908 0.5747 0.7248  1 Zr 2.94, 2 Sn 3.11-3.12, 2 Na 3.22-3.23

Properties
raw formation energy = -0.69 eV per atom
total magnetic moment = 0.0 μB/f.u.